4
Lattice="1.649 0.952 9.538 -1.649 0.952 9.538 0.000 -1.904 9.538" Properties=species:S:1:pos:R:3 comment="Hg2OsCl PBE optimized geometry" e_form_raw_ev_per_atom=0.607 e_above_lowest_polymorph_ev_per_atom=0.1238 rho_g_cm3=11.581 pbc="T T T"
Hg 0.000 0.000 0.000
Hg 0.000 0.000 6.832
Os 0.000 0.000 21.266
Cl 0.000 0.000 13.042

8
Lattice="-3.624 3.624 4.356 3.624 -3.624 4.356 3.624 3.624 -4.356" Properties=species:S:1:pos:R:3 comment="La2CBr PBE optimized geometry" e_form_raw_ev_per_atom=-0.582 rho_g_cm3=5.365 pbc="T T T"
La 5.436 1.209 -1.089
La 1.209 1.812 1.089
La -1.812 2.415 3.267
La 2.415 1.812 5.446
C 0.000 0.000 0.000
C 0.000 3.624 2.178
Br 3.624 0.000 2.178
Br 0.000 0.000 4.356

5
Lattice="5.413 0.000 0.000 0.000 5.413 0.000 0.000 0.000 5.413" Properties=species:S:1:pos:R:3 comment="In3AuCl PBE optimized geometry" e_form_raw_ev_per_atom=-0.253 e_above_lowest_polymorph_ev_per_atom=0.0000 rho_g_cm3=6.040 pbc="T T T"
In 0.000 0.000 2.706
In 0.000 2.706 0.000
In 2.706 0.000 0.000
Au 0.000 0.000 0.000
Cl 2.706 2.706 2.706

4
Lattice="3.067 0.000 0.000 0.000 3.067 0.000 0.000 0.000 6.148" Properties=species:S:1:pos:R:3 comment="Ti2MnPt PBE optimized geometry" formation_energy_ev_per_atom=-0.6435 rho_g_cm3=9.930 pbc="T T T"
Ti 0.000 0.000 1.408
Ti 0.000 0.000 4.740
Mn 1.533 1.533 0.000
Pt 1.533 1.533 3.074

5
Lattice="4.942 0.000 0.000 0.000 4.942 0.000 0.000 0.000 4.942" Properties=species:S:1:pos:R:3 comment="V3InSb PBE optimized geometry" e_form_raw_ev_per_atom=1.154 e_above_lowest_polymorph_ev_per_atom=0.0000 rho_g_cm3=5.357 pbc="T T T"
V 0.000 0.000 2.471
V 0.000 2.471 0.000
V 2.471 0.000 0.000
In 2.471 2.471 2.471
Sb 0.000 0.000 0.000

12
Lattice="-3.729 6.699 3.238 3.729 -6.699 3.238 3.729 6.699 -3.238" Properties=species:S:1:pos:R:3 comment="Ca3AlGe2 PBE optimized geometry" formation_energy_ev_per_atom=-0.4722 e_above_lowest_polymorph_ev_per_atom=0.0625 rho_g_cm3=3.002 pbc="T T T"
Ca 4.925 2.481 0.000
Ca 0.000 0.000 1.619
Ca 1.196 4.218 0.000
Ca 2.533 2.481 3.238
Ca 0.000 0.000 4.857
Ca -1.196 4.218 3.238
Al 3.729 0.000 1.619
Al 0.000 6.699 1.619
Ge 2.142 1.379 0.000
Ge 2.142 -1.379 3.238
Ge 1.587 8.078 0.000
Ge 1.587 5.320 3.238

2
Lattice="3.535 0.000 0.000 -1.768 3.061 0.000 0.000 0.000 3.404" Properties=species:S:1:pos:R:3 comment="HfP PBE optimized geometry" formation_energy_ev_per_atom=-1.1061 rho_g_cm3=9.441 pbc="T T T"
Hf 0.000 0.000 0.000
P 0.000 2.041 1.702

4
Lattice="0.000 3.552 3.552 3.552 0.000 3.552 3.552 3.552 0.000" Properties=species:S:1:pos:R:3 comment="Hf3Sc PBE optimized geometry" formation_energy_ev_per_atom=0.2034 e_above_lowest_polymorph_ev_per_atom=0.2113 rho_g_cm3=10.752 pbc="T T T"
Hf 0.000 0.000 0.000
Hf 1.776 1.776 1.776
Hf 5.328 5.328 5.328
Sc 3.552 3.552 3.552

5
Lattice="4.535 0.000 0.000 0.000 4.535 0.000 0.000 0.000 5.106" Properties=species:S:1:pos:R:3 comment="NbOsWCl2 PBE optimized geometry" e_form_raw_ev_per_atom=1.368 rho_g_cm3=8.507 pbc="T T T"
Nb 0.000 0.000 0.000
Os 2.267 2.267 0.000
W 2.267 2.267 2.553
Cl 0.000 2.267 2.553
Cl 2.267 0.000 2.553

10
Lattice="3.673 2.121 6.517 -3.673 2.121 6.517 0.000 -4.241 6.517" Properties=species:S:1:pos:R:3 comment="Nd2DyHoSe6 PBE optimized geometry" e_form_raw_ev_per_atom=-1.844 rho_g_cm3=5.942 pbc="T T T"
Nd 0.000 0.000 0.000
Nd 0.000 0.000 9.774
Dy 0.000 0.000 3.922
Ho 0.000 0.000 13.694
Se -2.678 0.138 8.569
Se -0.996 -1.974 11.833
Se 1.219 -2.388 8.569
Se -1.212 1.849 11.833
Se 1.459 2.250 8.569
Se 2.207 0.125 11.833

5
Lattice="4.740 0.000 0.000 0.000 4.740 0.000 0.000 0.000 5.693" Properties=species:S:1:pos:R:3 comment="SrAs2IrSe PBE optimized geometry" e_form_raw_ev_per_atom=-0.305 e_above_lowest_polymorph_ev_per_atom=0.0024 rho_g_cm3=6.603 pbc="T T T"
Sr 0.000 0.000 0.000
As 0.000 2.370 2.846
As 2.370 0.000 2.846
Ir 2.370 2.370 2.846
Se 2.370 2.370 0.000

8
Lattice="-3.193 3.193 3.625 3.193 -3.193 3.625 3.193 3.193 -3.625" Properties=species:S:1:pos:R:3 comment="LiPa2Pt5 PBE optimized geometry" formation_energy_ev_per_atom=-0.8203 rho_g_cm3=16.224 pbc="T T T"
Li 0.000 0.000 0.000
Pa 3.193 0.000 0.671
Pa 0.000 3.193 0.671
Pt 1.792 1.792 -1.178
Pt 1.402 -1.402 2.446
Pt -1.402 1.402 2.446
Pt 1.402 1.402 2.446
Pt 0.000 0.000 4.587

5
Lattice="4.199 0.000 0.000 0.000 4.199 0.000 0.000 0.000 5.750" Properties=species:S:1:pos:R:3 comment="MgReBiF2 PBE optimized geometry" e_form_raw_ev_per_atom=-0.446 rho_g_cm3=7.491 pbc="T T T"
Mg 0.000 0.000 0.000
Re 2.100 2.100 2.875
Bi 2.100 2.100 0.000
F 0.000 2.100 2.875
F 2.100 0.000 2.875

5
Lattice="4.879 0.000 0.000 0.000 4.879 0.000 0.000 0.000 4.879" Properties=species:S:1:pos:R:3 comment="NaSi3Au PBE optimized geometry" e_form_raw_ev_per_atom=1.565 e_above_lowest_polymorph_ev_per_atom=0.7696 rho_g_cm3=4.349 pbc="T T T"
Na 0.000 0.000 0.000
Si 0.000 0.000 2.440
Si 0.000 2.440 0.000
Si 2.440 0.000 0.000
Au 2.440 2.440 2.440

10
Lattice="4.247 0.000 0.000 0.000 4.247 0.000 0.000 0.000 9.740" Properties=species:S:1:pos:R:3 comment="Nd2ZnNi3As4 PBE optimized geometry" formation_energy_ev_per_atom=-0.7407 rho_g_cm3=7.841 pbc="T T T"
Nd 0.000 2.124 2.360
Nd 2.124 0.000 7.380
Zn 0.000 0.000 4.870
Ni 0.000 2.124 8.624
Ni 2.124 0.000 1.116
Ni 2.124 2.124 4.870
As 0.000 0.000 0.000
As 0.000 2.124 6.245
As 2.124 0.000 3.495
As 2.124 2.124 0.000

4
Lattice="3.530 -4.937 0.000 3.530 4.937 0.000 0.000 0.000 3.537" Properties=species:S:1:pos:R:3 comment="CeTh3 PBE optimized geometry" formation_energy_ev_per_atom=0.0104 e_above_lowest_polymorph_ev_per_atom=0.0005 rho_g_cm3=11.262 pbc="T T T"
Ce 0.000 0.000 0.000
Th 1.765 2.468 1.769
Th 1.765 -2.468 1.769
Th 3.530 0.000 0.000

12
Lattice="3.913 0.000 0.000 0.000 3.913 0.000 0.000 0.000 11.717" Properties=species:S:1:pos:R:3 comment="Co2AgPd9 PBE optimized geometry" formation_energy_ev_per_atom=0.0380 rho_g_cm3=10.954 pbc="T T T"
Co 0.000 0.000 1.944
Co 0.000 0.000 9.773
Ag 0.000 0.000 5.859
Pd 0.000 1.956 0.000
Pd 0.000 1.956 3.787
Pd 0.000 1.956 7.930
Pd 1.956 0.000 0.000
Pd 1.956 0.000 3.787
Pd 1.956 0.000 7.930
Pd 1.956 1.956 1.891
Pd 1.956 1.956 5.859
Pd 1.956 1.956 9.826

80
Lattice="-9.114 9.114 9.114 9.114 -9.114 9.114 9.114 9.114 -9.114" Properties=species:S:1:pos:R:3 comment="La3Dy12Zr5 PBE optimized geometry" formation_energy_ev_per_atom=1.1419 rho_g_cm3=6.192 pbc="T T T"
La 4.557 2.278 0.000
La 9.114 4.557 -2.278
La 2.278 0.000 4.557
La 11.392 0.000 4.557
La 0.000 4.557 2.278
La 4.557 -2.278 9.114
La 4.557 11.392 0.000
La 9.114 4.557 6.835
La -2.278 9.114 4.557
La 6.835 9.114 4.557
La 0.000 4.557 11.392
La 4.557 6.835 9.114
Dy 6.818 -5.670 5.693
Dy 15.966 1.137 -1.113
Dy 12.557 3.420 -2.295
Dy 10.227 -6.852 7.977
Dy 5.693 6.818 -5.670
Dy 7.977 -1.113 2.261
Dy 11.375 1.137 1.113
Dy 11.409 -3.443 5.693
Dy 7.977 10.227 -6.852
Dy 5.693 -2.295 5.670
Dy 5.670 5.693 -2.295
Dy 8.000 2.261 1.137
Dy 8.000 -2.261 7.977
Dy 14.784 3.420 2.295
Dy 7.977 8.000 -2.261
Dy 5.693 2.295 3.443
Dy 2.261 7.977 -1.113
Dy 11.409 3.443 3.420
Dy 5.693 11.409 -3.443
Dy 7.977 1.113 6.852
Dy 3.443 5.693 2.295
Dy 10.227 6.852 1.137
Dy 6.852 7.977 1.113
Dy 6.818 5.670 3.420
Dy 2.295 3.443 5.693
Dy 2.261 1.137 8.000
Dy -1.113 2.261 7.977
Dy 5.670 3.420 6.818
Dy 1.137 8.000 2.261
Dy 3.420 -2.295 12.557
Dy -2.295 5.670 5.693
Dy 6.852 1.137 10.227
Dy 3.420 6.818 5.670
Dy 1.137 1.113 11.375
Dy -5.670 5.693 6.818
Dy 1.113 11.375 1.137
Dy 1.113 6.852 7.977
Dy 3.443 3.420 11.409
Dy 3.420 11.409 3.443
Dy 1.137 -1.113 15.966
Dy -2.295 12.557 3.420
Dy -2.261 7.977 8.000
Dy 1.137 10.227 6.852
Dy 3.420 2.295 14.784
Dy -1.113 15.966 1.137
Dy -3.443 5.693 11.409
Dy -6.852 7.977 10.227
Dy 2.295 14.784 3.420
Zr 0.000 0.000 0.000
Zr 4.557 4.557 -4.557
Zr 4.557 -4.557 4.557
Zr 9.114 0.000 0.000
Zr 13.671 2.278 0.000
Zr 9.114 -4.557 6.835
Zr 6.835 9.114 -4.557
Zr 6.835 0.000 4.557
Zr 4.557 6.835 0.000
Zr 9.114 4.557 2.278
Zr -4.557 4.557 4.557
Zr 0.000 9.114 0.000
Zr 0.000 0.000 9.114
Zr 4.557 4.557 4.557
Zr 0.000 4.557 6.835
Zr 4.557 2.278 9.114
Zr 2.278 9.114 4.557
Zr 2.278 0.000 13.671
Zr 0.000 13.671 2.278
Zr -4.557 6.835 9.114

20
Lattice="5.028 2.903 3.814 -5.028 2.903 3.814 0.000 -5.806 3.814" Properties=species:S:1:pos:R:3 comment="CuHg3F6 PBE optimized geometry" e_form_raw_ev_per_atom=-1.249 e_above_lowest_polymorph_ev_per_atom=0.0199 rho_g_cm3=7.749 pbc="T T T"
Cu 0.000 0.000 0.000
Cu 0.000 0.000 5.720
Hg -3.452 -0.880 5.309
Hg -0.964 -3.429 6.132
Hg -2.488 2.549 6.132
Hg 2.488 -2.549 5.309
Hg 0.964 3.429 5.309
Hg 3.452 0.880 6.132
F -3.345 -3.108 6.370
F -4.364 1.343 5.071
F -1.104 -1.425 4.600
F 1.019 -4.450 5.071
F -0.683 1.669 4.600
F -1.786 0.243 6.841
F 1.786 -0.243 4.600
F 0.683 -1.669 6.841
F -1.019 4.450 6.370
F 1.104 1.425 6.841
F 4.364 -1.343 6.370
F 3.345 3.108 5.071

5
Lattice="5.757 0.000 0.000 0.000 5.757 0.000 0.000 0.000 5.757" Properties=species:S:1:pos:R:3 comment="ZnIn3Sn PBE optimized geometry" formation_energy_ev_per_atom=0.5535 e_above_lowest_polymorph_ev_per_atom=0.4931 rho_g_cm3=4.601 pbc="T T T"
Zn 0.000 0.000 0.000
In 0.000 2.878 2.878
In 2.878 0.000 2.878
In 2.878 2.878 0.000
Sn 2.878 2.878 2.878